[1]
# NdSm3Al2

NdSm3Al2 after structural relaxation (GGA-PBE, the Alexandria database).

Values from the calculation:
Relative energy among the computed polymorphs: 0 meV/atom
Energy of formation: -0.25 eV per atom

Structure (CIF):
```
data_NdSm3Al2
_symmetry_space_group_name_H-M 'P 1'
_symmetry_Int_Tables_number 1
_cell_length_a 5.214
_cell_length_b 6.683
_cell_length_c 9.781
_cell_angle_alpha 90.00
_cell_angle_beta 90.00
_cell_angle_gamma 90.00
loop_
_symmetry_equiv_pos_as_xyz
'x,y,z'
loop_
_atom_site_label
_atom_site_fract_x
_atom_site_fract_y
_atom_site_fract_z
Nd1 0.500 0.529 0.545
Nd2 0.500 0.029 0.455
Sm1 0.000 0.472 0.954
Sm2 0.000 0.972 0.046
Sm3 0.500 0.687 0.173
Sm4 0.500 0.187 0.827
Sm5 0.000 0.313 0.324
Sm6 0.000 0.813 0.676
Al1 0.500 0.707 0.854
Al2 0.500 0.207 0.146
Al3 0.000 0.291 0.648
Al4 0.000 0.791 0.352
```

[2]
# TaCrNi2

TaCrNi2 after structural relaxation (GGA-PBE, the Alexandria database).

Values from the calculation:
Relative energy among the computed polymorphs: 43 meV/atom
Energy of formation: -0.06 eV per atom

Structure (CIF):
```
data_TaCrNi2
_symmetry_space_group_name_H-M 'P 1'
_symmetry_Int_Tables_number 1
_cell_length_a 3.083
_cell_length_b 3.083
_cell_length_c 5.487
_cell_angle_alpha 90.00
_cell_angle_beta 90.00
_cell_angle_gamma 90.00
loop_
_symmetry_equiv_pos_as_xyz
'x,y,z'
loop_
_atom_site_label
_atom_site_fract_x
_atom_site_fract_y
_atom_site_fract_z
Cr1 0.500 0.500 0.779
Ni1 0.000 0.000 0.996
Ni2 0.500 0.500 0.235
Ta1 0.000 0.000 0.490
```

In the order shown, the computed DFT total energy values come out to -27.93 -33.27 eV/f.u..